Here is a relaxed Ce2Sm2Sb2C crystal from Alexandria. Energies are from GGA-PBE.

Properties
Calculated volume (Å³ per cell): 188.92
Space group: No. 139
N(E_F) (states/eV/atom): 1.5063
Formation energy without anion corrections (eV per atom): -0.73

abc: 4.7698 4.7698 8.9626
angles: 105.43 105.43 90.00
Atoms (fractional coordinates):
Ce 0.0000 0.5000 0.0000
Ce 0.5000 0.0000 0.0000
Sm 0.1642 0.1642 0.3285
Sm 0.8358 0.8358 0.6715
Sb 0.3578 0.3578 0.7156
Sb 0.6422 0.6422 0.2844
C 0.0000 0.0000 0.0000

Here is a relaxed BeFeSi2 crystal from Alexandria. Energies are from GGA-PBE.

Properties
Calculated volume (Å³ per cell): 43.92
Space group: No. 6
N(E_F) (states/eV/atom): 0.5735
Formation energy without anion corrections (eV per atom): -0.12

abc: 3.7246 2.7558 4.4898
angles: 72.38 90.00 90.00
Atoms (fractional coordinates):
Be 0.0000 0.6995 0.4765
Si 0.0000 0.9693 0.9437
Si 0.5000 0.2763 0.3153
Fe 0.5000 0.5549 0.7645

Here is a relaxed KTiTc2 crystal from Alexandria. Energies are from GGA-PBE.

Properties
Calculated volume (Å³ per cell): 200.35
Space group: No. 122
N(E_F) (states/eV/atom): 0.9591
Formation energy (eV per atom): 1.31
E above lowest polymorph (meV/atom): 21

abc: 4.7869 4.7869 9.3756
angles: 75.21 75.21 90.00
Atoms (fractional coordinates):
K 0.5000 0.5000 0.0000
K 0.2500 0.7500 0.5000
Tc 0.9292 0.1250 0.2500
Tc 0.8208 0.6250 0.2500
Tc 0.3750 0.0708 0.7500
Tc 0.8750 0.1792 0.7500
Ti 0.0000 0.0000 0.0000
Ti 0.7500 0.2500 0.5000

Here is a relaxed Rb4PrTh3S8 crystal from Alexandria. Energies are from GGA-PBE.

Properties
Calculated volume (Å³ per cell): 467.82
Space group: No. 166
N(E_F) (states/eV/atom): 0.6647
Formation energy without anion corrections (eV per atom): -1.69

abc: 8.3222 9.1614 8.3222
angles: 117.02 120.00 90.00
Atoms (fractional coordinates):
Rb 0.5000 0.0000 0.0000
Rb 0.5000 0.0000 0.5000
Rb 0.0000 0.0000 0.0000
Rb 0.0000 0.0000 0.5000
Pr 0.0000 0.5000 0.0000
Th 0.5000 0.5000 0.0000
Th 0.5000 0.5000 0.5000
Th 0.0000 0.5000 0.5000
S 0.2380 0.7023 0.9644
S 0.2380 0.7023 0.4760
S 0.2662 0.2988 0.5325
S 0.7264 0.7023 0.9644
S 0.2736 0.2977 0.0356
S 0.7338 0.7012 0.4675
S 0.7620 0.2977 0.5240
S 0.7620 0.2977 0.0356